# 1
# Al2Cu2Au3 (PBE, relaxed)
# E: -26.87 eV per formula unit
# ΔH_f (0 K): -1.36 eV per formula unit
# Fermi-level density of states: 2.83 states/eV/cell
# spin magnetization: 0.000 μB per cell
# calculated volume: 15.5 Å³ per atom
data_Al2Cu2Au3
_chemical_formula_sum 'Al4 Cu4 Au6'
_cell_length_a 2.852
_cell_length_b 4.253
_cell_length_c 17.904
_cell_angle_alpha 90.00
_cell_angle_beta 90.00
_cell_angle_gamma 90.00
_space_group_name_H-M_alt 'I m m m'
_space_group_IT_number 71
_space_group_name_Hall '-I 2 2'
loop_
_atom_site_label
_atom_site_fract_x
_atom_site_fract_y
_atom_site_fract_z
Al1 0.000 0.000 0.141
Cu1 0.000 0.500 0.067
Au1 0.000 0.000 0.302
Au2 0.000 0.500 0.500

# 2
# PmTl3Se2O8 (PBE, relaxed)
# E: -73.88 eV per formula unit
# formation energy from raw total energies: -1.10 eV per atom
# Fermi-level density of states: 3.78 states/eV/cell
# spin magnetization: 1.472 μB per cell
# calculated volume: 19.4 Å³ per atom
data_PmTl3Se2O8
_chemical_formula_sum 'Pm1 Tl3 Se2 O8'
_cell_length_a 6.2971
_cell_length_b 6.2971
_cell_length_c 7.9032
_cell_angle_alpha 90.00
_cell_angle_beta 90.00
_cell_angle_gamma 120.00
_space_group_name_H-M_alt 'P -3 m 1'
_space_group_IT_number 164
_space_group_name_Hall '-P 3 2"'
loop_
_atom_site_label
_atom_site_fract_x
_atom_site_fract_y
_atom_site_fract_z
Pm1 0.0000 0.0000 0.0000
Tl1 0.0000 0.0000 0.5000
Tl2 0.3333 0.6667 0.2457
Se1 0.3333 0.6667 0.7727
O1 0.1680 0.3361 0.8140
O2 0.3333 0.6667 0.5596

# 3
# TbZnGa (PBE, relaxed)
# E: -9.86 eV per formula unit
# ΔH_f (0 K): -0.93 eV per formula unit
# Fermi-level density of states: 3.64 states/eV/cell
# spin magnetization: 0.190 μB per cell
# calculated volume: 20.6 Å³ per atom
data_TbZnGa
_chemical_formula_sum 'Tb2 Zn2 Ga2'
_cell_length_a 3.359
_cell_length_b 3.359
_cell_length_c 10.948
_cell_angle_alpha 90.00
_cell_angle_beta 90.00
_cell_angle_gamma 90.00
_space_group_name_H-M_alt 'I 4 m m'
_space_group_IT_number 107
_space_group_name_Hall 'I 4 -2'
loop_
_atom_site_label
_atom_site_fract_x
_atom_site_fract_y
_atom_site_fract_z
Tb1 0.000 0.000 0.000
Zn1 0.000 0.000 0.684
Ga1 0.000 0.000 0.312

# 4
# CeNpN3 (PBE, relaxed)
# E: -49.96 eV per formula unit
# formation energy from raw total energies: -1.22 eV per atom
# Fermi-level density of states: 57.07 states/eV/cell
# spin magnetization: 16.073 μB per cell
# calculated volume: 14.6 Å³ per atom
data_CeNpN3
_chemical_formula_sum 'Ce8 Np8 N24'
_cell_length_a 10.315
_cell_length_b 5.845
_cell_length_c 10.281
_cell_angle_alpha 90.00
_cell_angle_beta 110.02
_cell_angle_gamma 90.00
_space_group_name_H-M_alt 'C 1 2/c 1'
_space_group_IT_number 15
_space_group_name_Hall '-C 2yc'
loop_
_atom_site_label
_atom_site_fract_x
_atom_site_fract_y
_atom_site_fract_z
Ce1 0.134 0.224 0.133
Np1 0.000 0.260 0.750
Np2 0.250 0.250 0.500
N1 0.065 0.235 0.564
N2 0.156 0.483 0.334
N3 0.163 0.018 0.847